VASP calculation (PBE+U) on a relaxed CrCdAg2F6 crystal.

The structure in CIF format:
```
data_CrCdAg2F6
_chemical_formula_sum 'Cr2 Cd2 Ag4 F12'
_cell_length_a 6.896
_cell_length_b 7.197
_cell_length_c 6.308
_cell_angle_alpha 90.00
_cell_angle_beta 90.00
_cell_angle_gamma 90.00
_space_group_name_H-M_alt 'P m m n'
_space_group_IT_number 59
loop_
_space_group_symop_operation_xyz
'x,y,z'
'-x,-y,-z'
'-x+1/2,-y+1/2,z'
'x+1/2,y+1/2,-z'
'x+1/2,-y,-z'
'-x+1/2,y,z'
'-x,y+1/2,-z'
'x,-y+1/2,z'
loop_
_atom_site_label
_atom_site_type_symbol
_atom_site_fract_x
_atom_site_fract_y
_atom_site_fract_z
Cr1 Cr 0.250 0.250 0.055
Cd1 Cd 0.250 0.750 0.269
Ag1 Ag 0.250 0.548 0.648
F1 F 0.052 0.250 0.274
F2 F 0.070 0.250 0.808
F3 F 0.250 0.519 0.034
```

Output
**E_tot**: -86.34 eV/cell